# 1
Crystalline Tl2CuBOs at its relaxed geometry. Source: Alexandria, functional GGA-PBEsol.

```
Tl2CuBOs
1.0
4.0324 0.0000 0.0000
0.0000 4.7149 0.0000
0.0000 0.0000 4.7149
B Tl Cu Os
1 2 1 1
direct
0.0000 0.0000 0.0000 B
0.0000 0.0000 0.5000 Tl
0.0000 0.5000 0.0000 Tl
0.5000 0.5000 0.5000 Cu
0.5000 0.0000 0.0000 Os
```

Energy   -0.172 hartree per atom
Density of states at the Fermi level   0.693 states/eV/atom
Formation energy from the elements   1.08 eV/atom
Symmetry   P4/mmm

***

# 2
Crystalline CuSiB2Pb at its relaxed geometry. Source: Alexandria, functional GGA-PBEsol.

```
CuSiB2Pb
1.0
3.9219 0.0000 0.0000
0.0000 3.9219 0.0000
0.0000 0.0000 5.0717
Si Cu B Pb
1 1 2 1
direct
0.0000 0.0000 0.5000 Si
0.0000 0.0000 0.0000 Cu
0.0000 0.5000 0.0000 B
0.5000 0.0000 0.0000 B
0.5000 0.5000 0.5000 Pb
```

Energy   -0.162 hartree per atom
Density of states at the Fermi level   0.474 states/eV/atom
ΔE_f (raw)   1201 meV/atom
Symmetry   P4/mmm

***

# 3
Crystalline SrCu2BPb at its relaxed geometry. Source: Alexandria, functional GGA-PBEsol.

```
SrCu2BPb
1.0
4.8205 0.0000 0.0000
0.0000 5.1416 0.0000
0.0000 0.0000 5.1416
Cu Pb Sr B
2 1 1 1
direct
0.0000 0.0000 0.5000 Cu
0.0000 0.5000 0.0000 Cu
0.5000 0.5000 0.5000 Pb
0.0000 0.0000 0.0000 Sr
0.5000 0.0000 0.0000 B
```

Energy   -0.095 hartree per atom
Density of states at the Fermi level   0.691 states/eV/atom
Formation energy from the elements   1.72 eV/atom
Symmetry   P4/mmm

***

# 4
Crystalline Cu3BPd at its relaxed geometry. Source: Alexandria, functional GGA-PBEsol.

```
Cu3BPd
1.0
-3.0993 -0.8346 3.2315
-1.0307 -3.9550 -2.0100
3.1744 -2.0990 2.5024
Cu B Pd
3 1 1
direct
0.0000 0.0000 0.5000 Cu
0.0000 0.5000 0.0000 Cu
0.5000 0.0000 0.0000 Cu
0.5000 0.5000 0.5000 B
0.0000 0.0000 0.0000 Pd
```

Energy   -0.122 hartree per atom
Density of states at the Fermi level   0.910 states/eV/atom
Formation energy from the elements   1.87 eV/atom
Symmetry   Pm-3m

***

# 5
Crystalline Cu2BPt2 at its relaxed geometry. Source: Alexandria, functional GGA-PBEsol.

```
Cu2BPt2
1.0
-3.4619 1.5114 1.9198
1.6420 -2.3033 4.7742
2.7464 4.6445 1.2961
Pt Cu B
4 4 2
direct
0.0000 0.8353 0.6647 Pt
0.0000 0.3353 0.8353 Pt
0.0000 0.1647 0.3353 Pt
0.0000 0.6647 0.1647 Pt
0.5000 0.1542 0.6542 Cu
0.5000 0.8458 0.3458 Cu
0.5000 0.6542 0.8458 Cu
0.5000 0.3458 0.1542 Cu
0.0000 0.5000 0.5000 B
0.0000 0.0000 0.0000 B
```

Energy   -0.222 hartree per atom
Density of states at the Fermi level   0.199 states/eV/atom
Formation energy from the elements   -0.11 eV/atom
Symmetry   P4/mbm

***

# 6
Crystalline CuBPt2 at its relaxed geometry. Source: Alexandria, functional GGA-PBEsol.

```
CuBPt2
1.0
5.0614 0.0000 0.0000
2.5307 4.5252 0.0000
2.5307 0.0000 4.5252
Pt B Cu
4 2 2
direct
0.3750 0.0784 0.4216 Pt
0.2034 0.4216 0.9216 Pt
0.8750 0.9216 0.5784 Pt
0.5466 0.5784 0.0784 Pt
0.5000 0.0000 0.0000 B
0.2500 0.5000 0.5000 B
0.0000 0.0000 0.0000 Cu
0.7500 0.5000 0.5000 Cu
```

Energy   -0.236 hartree per atom
Density of states at the Fermi level   0.321 states/eV/atom
Formation energy from the elements   -0.09 eV/atom
Symmetry   I-42d

***

# 7
Crystalline Cu3B5Pt9 at its relaxed geometry. Source: Alexandria, functional GGA-PBEsol.

```
Cu3B5Pt9
1.0
-0.1775 -1.3873 2.6006
8.5028 -2.7401 -0.8812
-1.8029 7.8095 4.0427
Pt B Cu
9 5 3
direct
0.0000 0.8227 0.8227 Pt
0.0000 0.0000 0.1773 Pt
0.0000 0.1773 0.0000 Pt
0.5000 0.7332 0.1945 Pt
0.5000 0.1945 0.7332 Pt
0.5000 0.2668 0.4613 Pt
0.5000 0.5387 0.8055 Pt
0.5000 0.4613 0.2668 Pt
0.5000 0.8055 0.5387 Pt
0.5000 0.8125 0.0000 B
0.5000 0.0000 0.8125 B
0.5000 0.1875 0.1875 B
0.0000 0.3333 0.6667 B
0.0000 0.6667 0.3333 B
0.0000 0.0000 0.4577 Cu
0.0000 0.5423 0.5423 Cu
0.0000 0.4577 0.0000 Cu
```

Energy   -0.248 hartree per atom
Density of states at the Fermi level   0.205 states/eV/atom
Formation energy from the elements   -0.25 eV/atom
Symmetry   P-62m

***

# 8
Crystalline CuB2Pt2 at its relaxed geometry. Source: Alexandria, functional GGA-PBEsol.

```
CuB2Pt2
1.0
-0.2595 1.0143 -2.9396
-1.2637 -2.7297 -0.8303
-4.5225 2.9431 3.0711
Pt B Cu
2 2 1
direct
0.6244 0.6244 0.2489 Pt
0.3756 0.3756 0.7511 Pt
0.2500 0.7500 0.5000 B
0.7500 0.2500 0.5000 B
0.0000 0.0000 0.0000 Cu
```

Energy   -0.244 hartree per atom
Density of states at the Fermi level   0.202 states/eV/atom
Formation energy from the elements   -0.17 eV/atom
Symmetry   I4/mmm

***

# 9
Crystalline CuB2Pt at its relaxed geometry. Source: Alexandria, functional GGA-PBEsol.

```
CuB2Pt
1.0
-2.0951 2.6179 3.3188
1.8344 -2.7740 3.3462
3.8747 2.8079 -3.1221
B Cu Pt
4 2 2
direct
0.8769 0.3750 0.2500 B
0.6250 0.6269 0.7500 B
0.3731 0.8750 0.2500 B
0.1250 0.1231 0.7500 B
0.7500 0.2500 0.5000 Cu
0.5000 0.5000 0.0000 Cu
0.0000 0.0000 0.0000 Pt
0.2500 0.7500 0.5000 Pt
```

Energy   -0.211 hartree per atom
Density of states at the Fermi level   0.341 states/eV/atom
Formation energy from the elements   0.59 eV/atom
Symmetry   I-42d

***

# 10
Crystalline Cu2BRuRh at its relaxed geometry. Source: Alexandria, functional GGA-PBEsol.

```
Cu2BRuRh
1.0
-2.0417 -3.1542 -1.1163
2.2647 -0.3401 -3.1811
2.4798 -2.3176 2.0132
Cu B Rh Ru
2 1 1 1
direct
0.0000 0.5000 0.0000 Cu
0.5000 0.0000 0.0000 Cu
0.0000 0.0000 0.0000 B
0.0000 0.0000 0.5000 Rh
0.5000 0.5000 0.5000 Ru
```

Energy   -0.232 hartree per atom
Density of states at the Fermi level   0.945 states/eV/atom
Formation energy from the elements   0.50 eV/atom
Symmetry   P4/mmm

***

# 11
Crystalline CuBRh2Se at its relaxed geometry. Source: Alexandria, functional GGA-PBEsol.

```
CuBRh2Se
1.0
-1.6156 -3.8999 -0.9165
3.9477 -1.2081 -1.8182
1.3852 -1.5176 4.0160
Se Rh B Cu
1 2 1 1
direct
0.0000 0.0000 0.0000 Se
0.0000 0.0000 0.5000 Rh
0.0000 0.5000 0.0000 Rh
0.5000 0.5000 0.5000 B
0.5000 0.0000 0.0000 Cu
```

Energy   -0.178 hartree per atom
Density of states at the Fermi level   1.007 states/eV/atom
ΔE_f (raw)   1444 meV/atom
Symmetry   P4/mmm

***

# 12
Crystalline TiCu2BRh at its relaxed geometry. Source: Alexandria, functional GGA-PBEsol.

```
TiCu2BRh
1.0
3.8817 0.0000 0.0000
0.0000 4.3524 0.0000
0.0000 0.0000 4.3524
Rh Ti B Cu
1 1 1 2
direct
0.5000 0.5000 0.5000 Rh
0.0000 0.0000 0.0000 Ti
0.5000 0.0000 0.0000 B
0.0000 0.5000 0.0000 Cu
0.0000 0.0000 0.5000 Cu
```

Energy   -0.179 hartree per atom
Density of states at the Fermi level   0.720 states/eV/atom
Formation energy from the elements   1.56 eV/atom
Symmetry   P4/mmm

***

- Which of these has the lowest density of states at the Fermi level?
  Cu2BPt2